! SbTePd2 | Alexandria via LeMat-Bulk | meta-GGA SCAN | single point on PBEsol structure; values from VASP
! Calculated volume, Å³ per cell: 82.4
! E_tot, Ha/atom: -1.304
! ΔE_f (raw), eV/atom: -0.46
&SYSTEM
  ibrav = 0, nat = 4, ntyp = 3
/
ATOMIC_SPECIES
Te 127.60 Te.upf
Pd 106.42 Pd.upf
Sb 121.76 Sb.upf
ATOMIC_POSITIONS crystal
Te 0.6667 0.3333 0.5000
Pd 0.3333 0.6667 0.2460
Pd 0.3333 0.6667 0.7540
Sb 0.0000 0.0000 0.0000
CELL_PARAMETERS angstrom
4.1268 0.0000 0.0000
-2.0634 3.5739 0.0000
0.0000 0.0000 5.5893

! PrSi2Mo2C | Alexandria via LeMat-Bulk | meta-GGA SCAN | single point on PBEsol structure; values from VASP
! Calculated volume, Å³ per cell: 94.8
! E_tot, Ha/atom: -0.894
! ΔE_f (raw), eV/atom: -0.45
&SYSTEM
  ibrav = 0, nat = 6, ntyp = 4
/
ATOMIC_SPECIES
Mo 95.94 Mo.upf
Pr 140.91 Pr.upf
Si 28.09 Si.upf
C 12.01 C.upf
ATOMIC_POSITIONS crystal
Mo 0.5000 0.0000 0.0000
Mo 0.0000 0.5000 0.0000
Pr 0.0000 0.0000 0.5000
Si 0.5000 0.5000 0.2769
Si 0.5000 0.5000 0.7231
C 0.0000 0.0000 0.0000
CELL_PARAMETERS angstrom
-0.9553 -2.4904 -3.2339
1.8614 -3.2216 1.9311
-4.6766 -1.2822 2.3688

! K2SbF5 | Alexandria via LeMat-Bulk | meta-GGA SCAN | single point on PBEsol structure; values from VASP
! Calculated volume, Å³ per cell: 553.8
! E_tot, Ha/atom: -0.431
! ΔE_f (raw), eV/atom: -2.78
&SYSTEM
  ibrav = 0, nat = 32, ntyp = 3
/
ATOMIC_SPECIES
F 19.00 F.upf
Sb 121.76 Sb.upf
K 39.10 K.upf
ATOMIC_POSITIONS crystal
F 0.0258 0.1487 0.5773
F 0.5346 0.0262 0.1707
F 0.4742 0.1489 0.5772
F 0.0258 0.6489 0.0772
F 0.4653 0.4736 0.3293
F 0.7502 0.6280 0.8381
F 0.5258 0.3513 0.9227
F 0.5347 0.5264 0.6707
F 0.5258 0.8511 0.4228
F 0.9742 0.8513 0.4227
F 0.0346 0.4738 0.3293
F 0.9654 0.5262 0.6707
F 0.4654 0.9738 0.8293
F 0.7498 0.1280 0.3381
F 0.2502 0.8720 0.6619
F 0.9742 0.3511 0.9228
F 0.9653 0.0264 0.1707
F 0.0347 0.9736 0.8293
F 0.2498 0.3720 0.1619
F 0.4742 0.6487 0.0773
Sb 0.7500 0.3887 0.7902
Sb 0.2500 0.1113 0.7098
Sb 0.2500 0.6113 0.2098
Sb 0.7500 0.8887 0.2902
K 0.7501 0.3684 0.1304
K 0.7499 0.8684 0.6304
K 0.2500 0.6251 0.5195
K 0.2500 0.1251 0.0195
K 0.2499 0.6316 0.8696
K 0.7500 0.8749 0.9805
K 0.7500 0.3749 0.4805
K 0.2501 0.1316 0.3696
CELL_PARAMETERS angstrom
-2.1327 5.2331 -3.1281
-3.6253 2.2637 6.2587
8.2720 6.2893 4.8818

! CsGaAs2Se | Alexandria via LeMat-Bulk | meta-GGA SCAN | single point on PBEsol structure; values from VASP
! Calculated volume, Å³ per cell: 187.2
! E_tot, Ha/atom: -0.788
! ΔE_f (raw), eV/atom: 1.48
&SYSTEM
  ibrav = 0, nat = 5, ntyp = 4
/
ATOMIC_SPECIES
As 74.92 As.upf
Cs 132.91 Cs.upf
Se 78.96 Se.upf
Ga 69.72 Ga.upf
ATOMIC_POSITIONS crystal
As 0.0000 0.5000 0.0000
As 0.5000 0.0000 0.0000
Cs 0.0000 0.0000 0.0000
Se 0.0000 0.0000 0.5000
Ga 0.5000 0.5000 0.5000
CELL_PARAMETERS angstrom
5.7352 0.0000 0.0000
0.0000 5.7352 0.0000
0.0000 0.0000 5.6902

! Zn2CoHgC | Alexandria via LeMat-Bulk | meta-GGA SCAN | single point on PBEsol structure; values from VASP
! Calculated volume, Å³ per cell: 77.3
! E_tot, Ha/atom: -0.879
! Formation energy, eV/atom: 0.598
&SYSTEM
  ibrav = 0, nat = 5, ntyp = 4
/
ATOMIC_SPECIES
Hg 200.59 Hg.upf
Co 58.93 Co.upf
Zn 65.41 Zn.upf
C 12.01 C.upf
ATOMIC_POSITIONS crystal
Hg 0.5000 0.5000 0.5000
Co 0.0000 0.0000 0.0000
Zn 0.0000 0.0000 0.5000
Zn 0.0000 0.5000 0.0000
C 0.5000 0.0000 0.0000
CELL_PARAMETERS angstrom
3.5311 0.0000 0.0000
0.0000 4.6798 0.0000
0.0000 0.0000 4.6798

! Sr2TcTe | Alexandria via LeMat-Bulk | meta-GGA SCAN | single point on PBEsol structure; values from VASP
! Calculated volume, Å³ per cell: 95.6
! E_tot, Ha/atom: -1.062
! ΔE_f (raw), eV/atom: 0.32
&SYSTEM
  ibrav = 0, nat = 4, ntyp = 3
/
ATOMIC_SPECIES
Tc 98.00 Tc.upf
Te 127.60 Te.upf
Sr 87.62 Sr.upf
ATOMIC_POSITIONS crystal
Tc 0.5000 0.5000 0.5000
Te 0.2500 0.2500 0.2500
Sr 0.0000 0.0000 0.0000
Sr 0.7500 0.7500 0.7500
CELL_PARAMETERS angstrom
-5.1095 0.2203 -0.4261
-2.9444 -0.4289 4.1813
-2.5490 4.0859 1.7735

! Ta5Mo3 | Alexandria via LeMat-Bulk | meta-GGA SCAN | single point on PBEsol structure; values from VASP
! Calculated volume, Å³ per cell: 133.1
! E_tot, Ha/atom: -2.013
! Formation energy, eV/atom: -0.083
! Energy relative to the lowest polymorph listed for this composition, eV/f.u.: 0.54
&SYSTEM
  ibrav = 0, nat = 8, ntyp = 2
/
ATOMIC_SPECIES
Ta 180.95 Ta.upf
Mo 95.94 Mo.upf
ATOMIC_POSITIONS crystal
Ta 0.5000 0.0000 0.2416
Ta 0.0000 0.5000 0.7588
Ta 0.5000 0.0000 0.7571
Ta 0.7559 0.7478 0.4965
Ta 0.2441 0.2522 0.4965
Mo 0.2476 0.2518 0.0030
Mo 0.7524 0.7482 0.0030
Mo 0.0000 0.5000 0.2434
CELL_PARAMETERS angstrom
-0.0851 0.9165 2.6663
2.7990 -4.4753 0.7212
7.6218 4.5538 -1.3222

! Ba2SrAl | Alexandria via LeMat-Bulk | meta-GGA SCAN | single point on PBEsol structure; values from VASP
! Calculated volume, Å³ per cell: 185.9
! E_tot, Ha/atom: -0.999
! Formation energy, eV/atom: 0.108
&SYSTEM
  ibrav = 0, nat = 4, ntyp = 3
/
ATOMIC_SPECIES
Ba 137.33 Ba.upf
Al 26.98 Al.upf
Sr 87.62 Sr.upf
ATOMIC_POSITIONS crystal
Ba 0.7330 0.7330 0.8010
Ba 0.2670 0.2670 0.1990
Al 0.0000 0.0000 0.0000
Sr 0.5000 0.5000 0.5000
CELL_PARAMETERS angstrom
4.1767 0.0000 0.0000
2.0883 3.6171 0.0000
2.0883 1.2057 12.3027

! ZrAlZn3 | Alexandria via LeMat-Bulk | meta-GGA SCAN | single point on PBEsol structure; values from VASP
! Calculated volume, Å³ per cell: 92.9
! E_tot, Ha/atom: -0.564
! Formation energy, eV/atom: 0.442
! Energy relative to the lowest polymorph listed for this composition, eV/f.u.: 0.00
&SYSTEM
  ibrav = 0, nat = 5, ntyp = 3
/
ATOMIC_SPECIES
Zn 65.41 Zn.upf
Zr 91.22 Zr.upf
Al 26.98 Al.upf
ATOMIC_POSITIONS crystal
Zn 0.0000 0.0000 0.5000
Zn 0.5000 0.0000 0.0000
Zn 0.0000 0.5000 0.0000
Zr 0.5000 0.5000 0.5000
Al 0.0000 0.0000 0.0000
CELL_PARAMETERS angstrom
-1.5541 -1.9365 3.7882
-3.6704 -1.4292 -2.2364
2.1514 -3.8371 -1.0788

! SnS2I | Alexandria via LeMat-Bulk | meta-GGA SCAN | single point on PBEsol structure; values from VASP
! Calculated volume, Å³ per cell: 209.8
! E_tot, Ha/atom: -0.839
! ΔE_f (raw), eV/atom: 0.15
! Energy relative to the lowest polymorph listed for this composition, eV/f.u.: 0.00
&SYSTEM
  ibrav = 0, nat = 8, ntyp = 3
/
ATOMIC_SPECIES
Sn 118.71 Sn.upf
I 126.90 I.upf
S 32.06 S.upf
ATOMIC_POSITIONS crystal
Sn 0.5000 0.2500 0.7500
Sn 0.0000 0.5000 0.5000
I 0.5000 0.7500 0.2500
I 0.0000 0.0000 0.0000
S 0.4314 0.8750 0.8064
S 0.0686 0.1936 0.6250
S 0.9314 0.5564 0.1250
S 0.5686 0.3750 0.4436
CELL_PARAMETERS angstrom
6.4735 0.1879 0.3024
-2.3267 6.0438 -0.3024
-2.3267 -2.9473 5.2851

! YTl2Cl | Alexandria via LeMat-Bulk | meta-GGA SCAN | single point on PBEsol structure; values from VASP
! Calculated volume, Å³ per cell: 102.7
! E_tot, Ha/atom: -1.687
! ΔE_f (raw), eV/atom: -0.77
! Energy relative to the lowest polymorph listed for this composition, eV/f.u.: 0.00
&SYSTEM
  ibrav = 0, nat = 4, ntyp = 3
/
ATOMIC_SPECIES
Tl 204.38 Tl.upf
Cl 35.45 Cl.upf
Y 88.91 Y.upf
ATOMIC_POSITIONS crystal
Tl 0.4298 0.5000 0.8596
Tl 0.0683 0.0000 0.1367
Cl 0.6996 0.5000 0.3992
Y 0.8036 0.0000 0.6071
CELL_PARAMETERS angstrom
3.6032 0.0000 0.0000
0.0000 4.8059 0.0000
-1.8016 0.0000 5.9287

! Sc2ReMo | Alexandria via LeMat-Bulk | meta-GGA SCAN | single point on PBEsol structure; values from VASP
! Calculated volume, Å³ per cell: 73.9
! E_tot, Ha/atom: -1.240
! Formation energy, eV/atom: -0.118
! Energy relative to the lowest polymorph listed for this composition, eV/f.u.: 0.00
&SYSTEM
  ibrav = 0, nat = 4, ntyp = 3
/
ATOMIC_SPECIES
Sc 44.96 Sc.upf
Mo 95.94 Mo.upf
Re 186.21 Re.upf
ATOMIC_POSITIONS crystal
Sc 0.5000 0.5000 0.2950
Sc 0.0000 0.0000 0.9521
Mo 0.0000 0.0000 0.5315
Re 0.5000 0.5000 0.7215
CELL_PARAMETERS angstrom
-1.8589 2.1908 1.2427
-1.5034 -2.2043 1.6371
4.8668 0.9039 5.6865

Look up the E_tot of the twelfth one. -1.240 Ha/atom

The highest calculated volume belongs to which entry? K2SbF5

Copy entry 5 word for word.
! Zn2CoHgC | Alexandria via LeMat-Bulk | meta-GGA SCAN | single point on PBEsol structure; values from VASP
! Calculated volume, Å³ per cell: 77.3
! E_tot, Ha/atom: -0.879
! Formation energy, eV/atom: 0.598
&SYSTEM
  ibrav = 0, nat = 5, ntyp = 4
/
ATOMIC_SPECIES
Hg 200.59 Hg.upf
Co 58.93 Co.upf
Zn 65.41 Zn.upf
C 12.01 C.upf
ATOMIC_POSITIONS crystal
Hg 0.5000 0.5000 0.5000
Co 0.0000 0.0000 0.0000
Zn 0.0000 0.0000 0.5000
Zn 0.0000 0.5000 0.0000
C 0.5000 0.0000 0.0000
CELL_PARAMETERS angstrom
3.5311 0.0000 0.0000
0.0000 4.6798 0.0000
0.0000 0.0000 4.6798

Copy entry 1 word for word.
! SbTePd2 | Alexandria via LeMat-Bulk | meta-GGA SCAN | single point on PBEsol structure; values from VASP
! Calculated volume, Å³ per cell: 82.4
! E_tot, Ha/atom: -1.304
! ΔE_f (raw), eV/atom: -0.46
&SYSTEM
  ibrav = 0, nat = 4, ntyp = 3
/
ATOMIC_SPECIES
Te 127.60 Te.upf
Pd 106.42 Pd.upf
Sb 121.76 Sb.upf
ATOMIC_POSITIONS crystal
Te 0.6667 0.3333 0.5000
Pd 0.3333 0.6667 0.2460
Pd 0.3333 0.6667 0.7540
Sb 0.0000 0.0000 0.0000
CELL_PARAMETERS angstrom
4.1268 0.0000 0.0000
-2.0634 3.5739 0.0000
0.0000 0.0000 5.5893